A crystal of LiFe2Pb relaxed with PBEsol. Source: the Alexandria database, functional meta-GGA SCAN. Values from VASP.

Values from the calculation:
crystal system: trigonal
ΔE_f: 2.72 eV per formula unit
E: -27.93 eV per atom

Quantum ESPRESSO input file:
```
&SYSTEM
  ibrav = 0, nat = 4, ntyp = 3
/
ATOMIC_SPECIES
Li 6.94 Li.upf
Fe 55.84 Fe.upf
Pb 207.20 Pb.upf
ATOMIC_POSITIONS crystal
Li 0.0000 0.0000 0.0000
Fe 0.2523 0.2523 0.2523
Fe 0.7477 0.7477 0.7477
Pb 0.5000 0.5000 0.5000
CELL_PARAMETERS angstrom
1.4759 0.8521 8.9453
-1.4759 0.8521 8.9453
0.0000 -1.7042 8.9453
```



A crystal of TcBTeN2 relaxed with PBEsol. Source: the Alexandria database, functional meta-GGA SCAN. Values from VASP.

Values from the calculation:
crystal system: tetragonal
formation energy from raw total energies: 1.8434 eV per atom
E: -17.82 eV per atom

Quantum ESPRESSO input file:
```
&SYSTEM
  ibrav = 0, nat = 5, ntyp = 4
/
ATOMIC_SPECIES
Tc 98.00 Tc.upf
B 10.81 B.upf
Te 127.60 Te.upf
N 14.01 N.upf
ATOMIC_POSITIONS crystal
Tc 0.0000 0.0000 0.0000
B 0.5000 0.5000 0.5000
Te 0.5000 0.5000 0.0000
N 0.0000 0.5000 0.5000
N 0.5000 0.0000 0.5000
CELL_PARAMETERS angstrom
3.4327 0.0000 0.0000
0.0000 3.4327 0.0000
0.0000 0.0000 5.9532
```



A crystal of NdSmFe4Co13 relaxed with PBEsol. Source: the Alexandria database, functional meta-GGA SCAN. Values from VASP.

Values from the calculation:
crystal system: trigonal
ΔE_f: -0.72 eV per formula unit
E: -20.33 eV per atom

Quantum ESPRESSO input file:
```
&SYSTEM
  ibrav = 0, nat = 19, ntyp = 4
/
ATOMIC_SPECIES
Nd 144.24 Nd.upf
Sm 150.36 Sm.upf
Fe 55.84 Fe.upf
Co 58.93 Co.upf
ATOMIC_POSITIONS crystal
Nd 0.0000 0.0000 0.0000
Sm 0.3121 0.3121 0.3121
Fe 0.1521 0.6575 0.6575
Fe 0.5619 0.5619 0.5619
Fe 0.6575 0.1521 0.6575
Fe 0.6575 0.6575 0.1521
Co 0.0004 0.0004 0.5003
Co 0.0004 0.5003 0.0004
Co 0.3123 0.3123 0.8079
Co 0.3123 0.8079 0.3123
Co 0.3693 0.6557 0.9424
Co 0.3693 0.9424 0.6557
Co 0.5003 0.0004 0.0004
Co 0.6557 0.3693 0.9424
Co 0.6557 0.9424 0.3693
Co 0.7519 0.7519 0.7519
Co 0.8079 0.3123 0.3123
Co 0.9424 0.3693 0.6557
Co 0.9424 0.6557 0.3693
CELL_PARAMETERS angstrom
4.1201 2.3787 4.0225
-4.1201 2.3787 4.0225
0.0000 -4.7575 4.0225
```



Among the records above, which one has the lowest E?
LiFe2Pb